Entry from Alexandria: Tb3Si3Ni at its PBEsol-relaxed geometry (meta-GGA SCAN).

The structure in extended XYZ format:
```
7
Lattice="3.919 0.000 0.000 0.000 4.099 0.000 -1.960 -2.049 8.657" Properties=species:S:1:pos:R:3 pbc="T T T"
Si 0.000 2.049 2.491
Si 1.960 0.000 6.275
Si 1.960 2.049 1.024
Tb 0.000 2.049 5.521
Tb 1.960 2.049 8.635
Tb 1.960 0.000 3.203
Ni 0.000 0.000 7.482
```

Volume = 139.1 Å³/f.u.
Spin magnetization = 0.00 μB per formula unit
Formation energy from raw total energies = -806.4 meV/atom

***

Entry from Alexandria: TbSi2Ni2 at its PBEsol-relaxed geometry (meta-GGA SCAN).

The structure in extended XYZ format:
```
5
Lattice="3.933 0.000 0.000 0.000 3.933 0.000 -1.966 -1.966 4.711" Properties=species:S:1:pos:R:3 pbc="T T T"
Si 0.000 0.000 3.509
Si 1.966 1.966 1.202
Ni 1.966 0.000 2.355
Ni 0.000 1.966 2.355
Tb 0.000 0.000 0.000
```

Volume = 72.9 Å³/f.u.
Spin magnetization = 0.00 μB per formula unit
Formation energy from raw total energies = -874.6 meV/atom

***

Entry from Alexandria: Tb3Si2Ni at its PBEsol-relaxed geometry (meta-GGA SCAN).

The structure in extended XYZ format:
```
24
Lattice="4.093 0.000 0.000 0.000 11.103 0.000 0.000 0.000 11.195" Properties=species:S:1:pos:R:3 pbc="T T T"
Si 3.069 2.089 0.296
Si 3.069 11.052 7.826
Si 1.023 5.500 8.967
Si 1.023 9.014 10.899
Si 1.023 7.641 5.302
Si 1.023 0.052 3.369
Si 3.069 3.462 5.893
Si 3.069 5.603 2.228
Tb 3.069 3.369 8.803
Tb 1.023 8.921 7.990
Tb 1.023 0.670 9.894
Tb 3.069 6.914 10.543
Tb 1.023 7.734 2.392
Tb 3.069 9.741 4.945
Tb 1.023 4.882 4.297
Tb 3.069 2.183 3.206
Tb 1.023 1.362 6.250
Tb 1.023 4.190 0.652
Tb 3.069 6.222 6.898
Tb 3.069 10.433 1.301
Ni 1.023 4.046 7.050
Ni 3.069 7.057 4.145
Ni 1.023 1.505 1.453
Ni 3.069 9.598 9.742
```

Volume = 127.2 Å³/f.u.
Spin magnetization = 0.00 μB per formula unit
Formation energy from raw total energies = -761.4 meV/atom

***

Entry from Alexandria: SiTcNi2 at its PBEsol-relaxed geometry (meta-GGA SCAN).

The structure in extended XYZ format:
```
4
Lattice="-2.610 0.408 0.533 -0.737 -2.291 -1.857 0.316 -3.581 4.291" Properties=species:S:1:pos:R:3 pbc="T T T"
Tc -1.436 -3.630 2.560
Ni 0.004 -0.049 0.059
Ni -1.590 -1.892 0.478
Si 0.149 -1.682 2.016
```

Volume = 45.9 Å³/f.u.
Spin magnetization = 0.00 μB per formula unit
Formation energy from raw total energies = -225.9 meV/atom

***

Entry from Alexandria: SiTcNi2 at its PBEsol-relaxed geometry (meta-GGA SCAN).

The structure in extended XYZ format:
```
4
Lattice="-2.137 1.114 -3.227 -3.990 0.467 0.290 -1.614 3.686 -0.172" Properties=species:S:1:pos:R:3 pbc="T T T"
Si -3.871 2.634 -1.554
Tc -1.935 1.317 -0.777
Ni 0.000 0.000 0.000
Ni -5.806 3.951 -2.332
```

Volume = 46.2 Å³/f.u.
Spin magnetization = 0.00 μB per formula unit
Formation energy from raw total energies = -251.8 meV/atom

***

Entry from Alexandria: SiTcNi2 at its PBEsol-relaxed geometry (meta-GGA SCAN).

The structure in extended XYZ format:
```
4
Lattice="-2.258 -1.150 0.287 0.925 -2.676 -3.439 1.350 -1.678 3.899" Properties=species:S:1:pos:R:3 pbc="T T T"
Ni 0.675 -0.839 1.950
Ni 0.463 -1.338 -1.720
Tc 0.008 -2.752 0.374
Si -1.129 -0.575 0.144
```

Volume = 46.7 Å³/f.u.
Spin magnetization = 0.00 μB per formula unit
Formation energy from raw total energies = -144.2 meV/atom

***

Entry from Alexandria: SiTcNi2 at its PBEsol-relaxed geometry (meta-GGA SCAN).

The structure in extended XYZ format:
```
4
Lattice="-0.888 2.074 -1.740 0.412 -2.455 -3.136 -3.586 -1.052 2.908" Properties=species:S:1:pos:R:3 pbc="T T T"
Ni -1.999 -0.763 -2.222
Ni -2.063 -0.670 0.253
Si 0.206 -1.228 -1.568
Tc -0.444 1.037 -0.870
```

Volume = 46.2 Å³/f.u.
Spin magnetization = 1.06 μB per formula unit
Formation energy from raw total energies = -243.0 meV/atom

***

Entry from Alexandria: SiTcNi6 at its PBEsol-relaxed geometry (meta-GGA SCAN).

The structure in extended XYZ format:
```
32
Lattice="6.087 0.002 0.000 -2.042 5.734 0.000 0.000 0.000 9.939" Properties=species:S:1:pos:R:3 pbc="T T T"
Tc 2.022 2.868 2.497
Tc 0.025 4.276 0.000
Tc 4.019 1.460 0.000
Tc 2.022 2.868 7.442
Ni -0.019 2.138 6.188
Ni -0.015 4.305 2.521
Ni -0.019 2.138 3.751
Ni 2.024 5.037 3.751
Ni 2.043 5.042 1.278
Ni 2.021 0.700 6.188
Ni 0.000 0.000 0.000
Ni 4.060 1.432 2.521
Ni 2.002 0.694 1.278
Ni 2.022 2.868 4.969
Ni 2.043 5.042 8.661
Ni 2.002 0.694 8.661
Ni 2.024 5.037 6.188
Ni 4.063 3.618 8.661
Ni 4.064 3.598 3.751
Ni 0.000 0.000 4.969
Ni 2.022 2.868 0.000
Ni 4.063 3.618 1.278
Ni 2.021 0.700 3.751
Ni -0.015 4.305 7.418
Ni 4.064 3.598 6.188
Ni 4.060 1.432 7.418
Ni -0.018 2.119 8.661
Ni -0.018 2.119 1.278
Si 0.000 0.000 2.513
Si 0.028 4.275 4.969
Si 4.017 1.462 4.969
Si 0.000 0.000 7.426
```

Volume = 86.7 Å³/f.u.
Spin magnetization = 3.83 μB per formula unit
Formation energy from raw total energies = -140.3 meV/atom

***

Entry from Alexandria: ThSi2Ni at its PBEsol-relaxed geometry (meta-GGA SCAN).

The structure in extended XYZ format:
```
8
Lattice="-0.585 -1.661 -3.666 -3.256 -2.037 1.442 -6.436 5.213 -1.335" Properties=species:S:1:pos:R:3 pbc="T T T"
Th -4.421 -1.130 0.089
Th -5.855 2.646 -3.648
Ni -3.802 -0.014 -2.771
Ni -6.474 1.530 -0.788
Si -4.187 1.693 -1.227
Si -7.830 3.287 -1.368
Si -6.090 -0.177 -2.332
Si -2.446 -1.771 -2.191
```

Volume = 67.8 Å³/f.u.
Spin magnetization = 0.00 μB per formula unit
Formation energy from raw total energies = -832.5 meV/atom

***

Entry from Alexandria: Ti2SiNi3 at its PBEsol-relaxed geometry (meta-GGA SCAN).

The structure in extended XYZ format:
```
12
Lattice="4.762 0.000 0.000 -2.381 4.124 0.000 0.000 0.000 7.453" Properties=species:S:1:pos:R:3 pbc="T T T"
Ni 0.000 1.399 1.863
Ni 2.381 2.725 5.589
Ni 1.170 3.424 1.863
Ni -1.170 3.424 1.863
Ni 1.211 0.699 5.589
Ni 3.550 0.699 5.589
Ti 2.381 1.375 0.401
Ti 2.381 1.375 3.326
Ti 0.000 2.749 7.052
Ti 0.000 2.749 4.127
Si 0.000 0.000 3.726
Si 0.000 0.000 0.000
```

Volume = 73.2 Å³/f.u.
Spin magnetization = 0.01 μB per formula unit
Formation energy from raw total energies = -672.6 meV/atom

***

Entry from Alexandria: Tl2SiNi at its PBEsol-relaxed geometry (meta-GGA SCAN).

The structure in extended XYZ format:
```
4
Lattice="-0.126 2.851 -1.177 1.002 -1.076 -2.714 -8.097 -1.368 -2.446" Properties=species:S:1:pos:R:3 pbc="T T T"
Tl -7.644 -1.291 -2.310
Tl -2.099 0.459 -2.712
Ni -4.648 -0.785 -1.404
Si -4.975 -0.027 -3.581
```

Volume = 81.6 Å³/f.u.
Spin magnetization = 0.00 μB per formula unit
Excess energy over the best structure of this formula in the dataset = 0.000 eV per atom
Formation energy from raw total energies = 105.8 meV/atom

***

Entry from Alexandria: Tl2SiNi at its PBEsol-relaxed geometry (meta-GGA SCAN).

The structure in extended XYZ format:
```
4
Lattice="3.367 0.000 0.000 1.683 2.916 0.000 1.683 0.972 7.947" Properties=species:S:1:pos:R:3 pbc="T T T"
Tl 1.683 0.972 2.180
Tl 5.050 2.916 5.767
Si 0.000 0.000 0.000
Ni 3.367 1.944 3.974
```

Volume = 78.0 Å³/f.u.
Spin magnetization = 0.00 μB per formula unit
Excess energy over the best structure of this formula in the dataset = 0.497 eV per atom
Formation energy from raw total energies = 602.4 meV/atom

***

Entry from Alexandria: Tl2SiNi at its PBEsol-relaxed geometry (meta-GGA SCAN).

The structure in extended XYZ format:
```
4
Lattice="-0.614 -2.406 -1.797 -0.262 -2.554 3.508 -5.567 3.689 -0.423" Properties=species:S:1:pos:R:3 pbc="T T T"
Tl -6.379 -1.283 1.283
Tl -3.895 -0.480 -0.640
Ni -0.862 -2.394 0.886
Si -2.189 -0.862 1.902
```

Volume = 81.8 Å³/f.u.
Spin magnetization = 0.00 μB per formula unit
Excess energy over the best structure of this formula in the dataset = 0.198 eV per atom
Formation energy from raw total energies = 303.9 meV/atom

***

Entry from Alexandria: Tl2SiNi2 at its PBEsol-relaxed geometry (meta-GGA SCAN).

The structure in extended XYZ format:
```
5
Lattice="5.071 0.000 0.000 -2.536 5.351 -0.181 0.000 2.551 4.383" Properties=species:S:1:pos:R:3 pbc="T T T"
Tl 0.000 3.313 1.005
Tl 2.536 4.589 3.197
Ni 2.536 3.562 0.860
Ni 0.000 4.340 3.341
Si 0.000 0.000 0.000
```

Volume = 121.3 Å³/f.u.
Spin magnetization = 0.00 μB per formula unit
Formation energy from raw total energies = 465.1 meV/atom

***

Entry from Alexandria: TmSi2Ni10 at its PBEsol-relaxed geometry (meta-GGA SCAN).

The structure in extended XYZ format:
```
26
Lattice="4.605 0.000 0.000 0.000 8.037 0.000 0.000 0.000 8.037" Properties=species:S:1:pos:R:3 pbc="T T T"
Ni 1.241 4.018 6.255
Ni 3.363 0.000 5.801
Ni 1.102 2.835 4.018
Ni 3.363 0.000 2.236
Ni 1.241 5.801 0.000
Ni 1.241 4.018 1.782
Ni 0.000 6.028 2.009
Ni 1.241 2.236 0.000
Ni 1.102 0.000 6.854
Ni 1.102 0.000 1.183
Ni 3.502 4.018 2.835
Ni 3.363 1.782 4.018
Ni 0.000 2.009 2.009
Ni 1.102 5.202 4.018
Ni 0.000 2.009 6.028
Ni 3.502 4.018 5.202
Ni 0.000 6.028 6.028
Ni 3.502 1.183 0.000
Ni 3.363 6.255 4.018
Ni 3.502 6.854 0.000
Si 2.302 2.009 2.009
Si 2.302 6.028 2.009
Si 2.302 6.028 6.028
Si 2.302 2.009 6.028
Tm 1.017 0.000 4.018
Tm 3.587 4.018 0.000
```

Volume = 148.7 Å³/f.u.
Spin magnetization = 0.00 μB per formula unit
Formation energy from raw total energies = -440.6 meV/atom

***

Entry from Alexandria: Tm3Si3Ni at its PBEsol-relaxed geometry (meta-GGA SCAN).

The structure in extended XYZ format:
```
14
Lattice="-1.333 -2.736 -2.752 3.990 -1.715 -3.286 2.280 -10.589 6.362" Properties=species:S:1:pos:R:3 pbc="T T T"
Si -0.389 -3.488 -2.461
Si 2.680 -6.585 -3.927
Si 2.258 -8.454 4.251
Si 1.924 -5.678 1.653
Si 3.014 -9.361 -1.329
Si 5.327 -11.551 2.785
Tm 2.247 -3.713 -3.513
Tm 1.248 -3.559 -0.125
Tm 1.994 -8.564 1.430
Tm 2.691 -11.325 3.838
Tm 2.944 -6.475 -1.106
Tm 3.690 -11.480 0.450
Ni 0.284 -6.475 0.182
Ni 4.654 -8.564 0.143
```

Volume = 128.2 Å³/f.u.
Spin magnetization = 0.00 μB per formula unit
Formation energy from raw total energies = -860.3 meV/atom

***

Entry from Alexandria: V6Si7Ni16 at its PBEsol-relaxed geometry (meta-GGA SCAN).

The structure in extended XYZ format:
```
29
Lattice="7.719 0.000 0.000 3.860 6.685 0.000 3.860 2.228 6.303" Properties=species:S:1:pos:R:3 pbc="T T T"
Si 5.789 1.114 3.151
Si 1.930 1.114 3.151
Si 7.719 4.457 3.151
Si 5.789 3.342 0.000
Si 3.860 4.457 3.151
Si 1.930 3.342 0.000
Si 3.860 0.000 0.000
Ni 5.911 5.500 3.889
Ni 12.883 7.438 5.259
Ni 7.719 6.544 2.413
Ni 5.164 1.475 1.043
Ni 10.275 7.438 5.259
Ni 9.527 3.413 2.413
Ni 7.719 2.369 3.889
Ni 9.527 5.500 3.889
Ni 5.911 3.413 2.413
Ni 7.719 4.457 5.365
Ni 3.860 2.228 3.173
Ni 2.555 1.475 1.043
Ni 11.579 5.179 5.259
Ni 3.860 3.734 1.043
Ni 7.719 4.457 0.937
Ni 11.579 6.685 3.130
V 5.376 5.810 1.238
V 7.719 1.751 1.238
V 10.063 3.104 5.065
V 5.376 3.104 5.065
V 7.719 7.163 5.065
V 10.063 5.810 1.238
```

Volume = 325.2 Å³/f.u.
Spin magnetization = 7.26 μB per formula unit
Formation energy from raw total energies = -521.9 meV/atom

***

Entry from Alexandria: SiNiW2 at its PBEsol-relaxed geometry (meta-GGA SCAN).

The structure in extended XYZ format:
```
4
Lattice="2.699 0.008 0.000 -0.679 2.613 0.000 0.000 0.000 7.696" Properties=species:S:1:pos:R:3 pbc="T T T"
W 0.000 0.000 0.131
W 1.010 1.310 5.631
Ni 0.000 0.000 3.666
Si 1.010 1.310 2.115
```

Volume = 54.3 Å³/f.u.
Spin magnetization = 0.00 μB per formula unit
Formation energy from raw total energies = 17.0 meV/atom

***

Entry from Alexandria: SiNiW2 at its PBEsol-relaxed geometry (meta-GGA SCAN).

The structure in extended XYZ format:
```
4
Lattice="2.737 0.000 0.000 0.000 2.737 0.000 0.000 0.000 7.148" Properties=species:S:1:pos:R:3 pbc="T T T"
Si 1.368 1.368 5.113
Ni 0.000 0.000 3.818
W 0.000 0.000 6.956
W 1.368 1.368 1.982
```

Volume = 53.5 Å³/f.u.
Spin magnetization = 0.00 μB per formula unit
Formation energy from raw total energies = 88.1 meV/atom

***

Entry from Alexandria: SiNiW2 at its PBEsol-relaxed geometry (meta-GGA SCAN).

The structure in extended XYZ format:
```
4
Lattice="-0.580 -3.539 -0.942 3.658 -0.512 -0.326 0.193 -1.045 3.806" Properties=species:S:1:pos:R:3 pbc="T T T"
W -0.290 -1.769 -0.471
W 1.829 -0.256 -0.163
Si 0.096 -0.522 1.903
Ni 1.635 -2.548 1.269
```

Volume = 54.3 Å³/f.u.
Spin magnetization = 0.00 μB per formula unit
Formation energy from raw total energies = 91.0 meV/atom